(a)
This record from Alexandria via LeMat-Bulk describes a relaxed structure of LiIn2Au6. The functional is PBE.

Cell and atoms, written as CIF:
```
data_LiIn2Au6
_chemical_formula_sum 'Li2 In4 Au12'
_symmetry_space_group_name_H-M 'C 1 2/m 1'
_symmetry_Int_Tables_number 12
_symmetry_space_group_name_Hall '-C 2y'
_cell_length_a 14.6498
_cell_length_b 7.7132
_cell_length_c 3.0617
_cell_angle_alpha 90.00
_cell_angle_beta 90.72
_cell_angle_gamma 90.00
loop_
_atom_site_label
_atom_site_type_symbol
_atom_site_fract_x
_atom_site_fract_y
_atom_site_fract_z
Li1 Li 0.0000 0.0000 0.0000
In1 In 0.1888 0.5000 0.5041
Au1 Au 0.0000 0.3052 0.5000
Au2 Au 0.1552 0.1839 0.0022
```


(b)
This record from Alexandria via LeMat-Bulk describes a relaxed structure of LiIn2Au6. The functional is PBE.

Cell and atoms, written as CIF:
```
data_LiIn2Au6
_chemical_formula_sum 'Li2 In4 Au12'
_symmetry_space_group_name_H-M 'C 1 2/m 1'
_symmetry_Int_Tables_number 12
_symmetry_space_group_name_Hall '-C 2y'
_cell_length_a 5.1099
_cell_length_b 15.0220
_cell_length_c 5.0586
_cell_angle_alpha 90.00
_cell_angle_beta 119.59
_cell_angle_gamma 90.00
loop_
_atom_site_label
_atom_site_type_symbol
_atom_site_fract_x
_atom_site_fract_y
_atom_site_fract_z
Li1 Li 0.0000 0.0000 0.0000
In1 In 0.0000 0.1584 0.5000
Au1 Au 0.1598 0.5000 0.3301
Au2 Au 0.1715 0.3348 0.8350
```


Name the most stable of them. (b).